Below is crystalline La5Er4Th2 at its relaxed geometry, with properties calculated at the PBE level.

Computed properties:
As for the crystal system: monoclinic. The calculation puts the total magnetic moment at 0.00 Bohr magnetons per cell. The total energy comes out at -5.141 eV/atom.

POSCAR file:
```
La5Er4Th2
1.0
8.9508 0.0000 0.0000
0.0000 3.5352 0.0000
-0.8227 0.0000 11.8394
La Er Th
5 4 2
Cartesian
0.0000 0.0000 0.0000 La
0.4750 0.0000 3.4435 La
2.0711 0.0000 9.8454 La
6.0570 0.0000 1.9940 La
7.6531 0.0000 8.3959 La
1.3740 1.7676 6.4999 Er
2.9782 1.7676 1.2427 Er
5.1499 1.7676 10.5967 Er
6.7541 1.7676 5.3395 Er
3.7414 0.0000 4.3384 Th
4.3867 0.0000 7.5010 Th
```